VASP calculation (GGA-PBE) on TaTi2Al3 after structural relaxation.

Cell and atoms, written as POSCAR:
```
TaTi2Al3
1.0
-5.2077 6.2571 -0.7895
-3.5392 -2.3579 4.6580
4.8341 3.8735 -1.1872
Ta Ti Al
2 4 6
Cartesian
-2.4528 6.0186 2.9026
-1.1439 1.3744 -0.1734
-1.7117 6.2940 0.1979
0.8922 3.1654 0.5927
-1.8848 1.0988 2.5313
-4.4887 4.2273 2.1365
0.9842 5.7674 -0.5779
-1.6196 8.8960 -0.9726
-1.7984 3.6965 1.3646
-4.4022 6.8251 0.9699
-7.1849 4.7543 2.9123
-4.5810 1.6257 3.3070
```

Values from the calculation:
energy above the most stable polymorph in this dataset: 0.0 kJ per mole of atoms
E_tot: -6.83 eV/atom
calculated density: 6.1 g cm⁻³
E_form: -356 meV per atom